Here is a relaxed structure of SrHf2Co from Alexandria via LeMat-Bulk. Energies are from PBEsol.

## Properties
The space group is No. 225. The formation energy from the elements comes out at 707 meV/atom.

Unit cell a=4.776 b=4.776 c=4.776 alpha=60.00 beta=60.00 gamma=60.00
Fractional positions:
Hf1 0.750 0.750 0.750
Hf2 0.250 0.250 0.250
Sr1 0.500 0.500 0.500
Co1 0.000 0.000 0.000